A plane-wave DFT calculation with PBE was carried out for a relaxed structure of LiAc2I2N2.

Results
Formation energy (no corrections): -1.0595 eV/atom
Density: 5.71 g/cm3
VASP energy: -5.328 eV per atom

abc: 4.297 4.297 13.512
angles: 90.00 90.00 120.00
Sites, in units of the cell vectors:
Li: 0.000 0.000 0.000
Ac: 0.667 0.333 0.386
Ac: 0.333 0.667 0.614
I: 0.000 0.000 0.812
I: 0.000 0.000 0.188
N: 0.667 0.333 0.573
N: 0.333 0.667 0.427